(1)
# LiFeAgSeS2 | the Open Quantum Materials Database | PBE | optimized geometry
data_LiFeAgSeS2
_chemical_formula_sum 'Li4 Fe4 Ag4 Se4 S8'
_symmetry_space_group_name_H-M 'C m c m'
_symmetry_Int_Tables_number 63
_symmetry_space_group_name_Hall '-C 2c 2'
_cell_length_a 3.250
_cell_length_b 13.423
_cell_length_c 9.914
_cell_angle_alpha 90.00
_cell_angle_beta 90.00
_cell_angle_gamma 90.00
loop_
_atom_site_label
_atom_site_fract_x
_atom_site_fract_y
_atom_site_fract_z
Li1 0.000 0.202 0.250
Fe1 0.000 0.500 0.000
Ag1 0.000 0.130 0.750
Se1 0.000 0.446 0.750
S1 0.000 0.120 0.510
# **DFT total energy**: -105.9 eV/cell
# **Calculated volume**: 18.0 Å³/atom

***

(2)
# Dy2Tm5Ni2Te2 | the Open Quantum Materials Database | PBE | optimized geometry
data_Dy2Tm5Ni2Te2
_chemical_formula_sum 'Dy4 Tm10 Ni4 Te4'
_symmetry_space_group_name_H-M 'I m m 2'
_symmetry_Int_Tables_number 44
_symmetry_space_group_name_Hall 'I 2 -2'
_cell_length_a 3.826
_cell_length_b 15.480
_cell_length_c 9.483
_cell_angle_alpha 90.00
_cell_angle_beta 90.00
_cell_angle_gamma 90.00
loop_
_atom_site_label
_atom_site_fract_x
_atom_site_fract_y
_atom_site_fract_z
Dy1 0.000 0.148 0.000
Tm1 0.000 0.184 0.649
Tm2 0.000 0.367 0.852
Tm3 0.000 0.500 0.270
Ni1 0.000 0.261 0.340
Te1 0.000 0.000 0.504
Te2 0.000 0.500 0.607
# **Calculated volume**: 25.5 Å³/atom
# **Distance to the lowest polymorph of the same formula**: 0.0 meV/atom

***

(3)
# PrNdNO | the Open Quantum Materials Database | PBE | optimized geometry
data_PrNdNO
_chemical_formula_sum 'Pr4 Nd4 N4 O4'
_symmetry_space_group_name_H-M 'P b c m'
_symmetry_Int_Tables_number 57
_symmetry_space_group_name_Hall '-P 2c 2b'
_cell_length_a 8.435
_cell_length_b 7.084
_cell_length_c 5.173
_cell_angle_alpha 90.00
_cell_angle_beta 90.00
_cell_angle_gamma 90.00
loop_
_atom_site_label
_atom_site_fract_x
_atom_site_fract_y
_atom_site_fract_z
Pr1 0.124 0.074 0.250
Nd1 0.375 0.584 0.250
N1 0.376 0.575 0.750
O1 0.132 0.091 0.750
# **Calculated volume**: 19.3 Å³/atom
# **Distance to the lowest polymorph of the same formula**: 0.0 meV/atom

***

(4)
# Cu4Ag | the Open Quantum Materials Database | PBE | optimized geometry
data_Cu4Ag
_chemical_formula_sum 'Cu16 Ag4'
_symmetry_space_group_name_H-M 'C 1 2/m 1'
_symmetry_Int_Tables_number 12
_symmetry_space_group_name_Hall '-C 2y'
_cell_length_a 17.941
_cell_length_b 2.720
_cell_length_c 5.423
_cell_angle_alpha 90.00
_cell_angle_beta 98.97
_cell_angle_gamma 90.00
loop_
_atom_site_label
_atom_site_fract_x
_atom_site_fract_y
_atom_site_fract_z
Cu1 0.000 0.000 0.000
Cu2 0.000 0.000 0.500
Cu3 0.100 0.500 0.299
Cu4 0.201 0.000 0.582
Cu5 0.207 0.000 0.119
Ag1 0.104 0.500 0.805
# **Calculated volume**: 13.1 Å³/atom
# **Distance to the lowest polymorph of the same formula**: 32.1 meV/atom
# **Calculated formation energy**: 76 meV/atom

***

(5)
# BaZn2Te2F2 | the Open Quantum Materials Database | PBE | optimized geometry
data_BaZn2Te2F2
_chemical_formula_sum 'Ba1 Zn2 Te2 F2'
_symmetry_space_group_name_H-M 'P -4 m 2'
_symmetry_Int_Tables_number 115
_symmetry_space_group_name_Hall 'P -4 -2'
_cell_length_a 3.862
_cell_length_b 3.862
_cell_length_c 10.484
_cell_angle_alpha 90.00
_cell_angle_beta 90.00
_cell_angle_gamma 90.00
loop_
_atom_site_label
_atom_site_fract_x
_atom_site_fract_y
_atom_site_fract_z
Ba1 0.000 0.000 0.000
Zn1 0.000 0.500 0.617
Te1 0.000 0.500 0.252
F1 0.000 0.000 0.500
F2 0.500 0.500 0.500
# **DFT total energy**: -21.9 eV/cell
# **Calculated volume**: 22.3 Å³/atom

***

(6)
# ScFeSnPt | the Open Quantum Materials Database | PBE | optimized geometry
data_ScFeSnPt
_chemical_formula_sum 'Sc4 Fe4 Sn4 Pt4'
_symmetry_space_group_name_H-M 'F -4 3 m'
_symmetry_Int_Tables_number 216
_symmetry_space_group_name_Hall 'F -4 2 3'
_cell_length_a 6.548
_cell_length_b 6.548
_cell_length_c 6.548
_cell_angle_alpha 90.00
_cell_angle_beta 90.00
_cell_angle_gamma 90.00
loop_
_atom_site_label
_atom_site_fract_x
_atom_site_fract_y
_atom_site_fract_z
Sc1 0.000 0.000 0.000
Fe1 0.000 0.000 0.500
Sn1 0.250 0.250 0.250
Pt1 0.250 0.250 0.750
# **Calculated volume**: 17.5 Å³/atom
# **Distance to the lowest polymorph of the same formula**: 190.1 meV/atom

***

(7)
# Y3Te5Pt | the Open Quantum Materials Database | PBE | optimized geometry
data_Y3Te5Pt
_chemical_formula_sum 'Y3 Te5 Pt1'
_symmetry_space_group_name_H-M 'P -6 2 m'
_symmetry_Int_Tables_number 189
_symmetry_space_group_name_Hall 'P -6 -2'
_cell_length_a 8.6245
_cell_length_b 8.6245
_cell_length_c 3.8095
_cell_angle_alpha 90.00
_cell_angle_beta 90.00
_cell_angle_gamma 120.00
loop_
_atom_site_label
_atom_site_fract_x
_atom_site_fract_y
_atom_site_fract_z
Y1 0.0000 0.6429 0.0000
Te1 0.0000 0.2416 0.5000
Te2 0.3333 0.6667 0.5000
Pt1 0.0000 0.0000 0.0000
# **Calculated volume**: 27.3 Å³/atom
# **Distance to the lowest polymorph of the same formula**: 107.8 meV/atom

***

(8)
# PaHgBi | the Open Quantum Materials Database | PBE | optimized geometry
data_PaHgBi
_chemical_formula_sum 'Pa4 Hg4 Bi4'
_symmetry_space_group_name_H-M 'F -4 3 m'
_symmetry_Int_Tables_number 216
_symmetry_space_group_name_Hall 'F -4 2 3'
_cell_length_a 7.361
_cell_length_b 7.361
_cell_length_c 7.361
_cell_angle_alpha 90.00
_cell_angle_beta 90.00
_cell_angle_gamma 90.00
loop_
_atom_site_label
_atom_site_fract_x
_atom_site_fract_y
_atom_site_fract_z
Pa1 0.000 0.000 0.000
Hg1 0.250 0.250 0.250
Bi1 0.250 0.250 0.750
# **Calculated volume**: 33.2 Å³/atom
# **Distance to the lowest polymorph of the same formula**: 0.0 meV/atom

***

(9)
# BeZn2 | the Open Quantum Materials Database | PBE | optimized geometry
data_BeZn2
_chemical_formula_sum 'Be4 Zn8'
_symmetry_space_group_name_H-M 'P m m n'
_symmetry_Int_Tables_number 59
_cell_length_a 4.150
_cell_length_b 7.853
_cell_length_c 4.516
_cell_angle_alpha 90.00
_cell_angle_beta 90.00
_cell_angle_gamma 90.00
loop_
_symmetry_equiv_pos_as_xyz
'x,y,z'
'-x,-y,-z'
'-x+1/2,-y+1/2,z'
'x+1/2,y+1/2,-z'
'x+1/2,-y,-z'
'-x+1/2,y,z'
'-x,y+1/2,-z'
'x,-y+1/2,z'
loop_
_atom_site_label
_atom_site_fract_x
_atom_site_fract_y
_atom_site_fract_z
Be1 0.250 0.086 0.073
Zn1 0.250 0.250 0.563
Zn2 0.250 0.575 0.614
Zn3 0.250 0.750 0.094
# **DFT total energy**: -23.2 eV/cell
# **Calculated volume**: 12.3 Å³/atom

***

(10)
# KAuC12I4 | the Open Quantum Materials Database | PBE | optimized geometry
data_KAuC12I4
_chemical_formula_sum 'K1 Au1 C12 I4'
_symmetry_space_group_name_H-M 'P 1'
_symmetry_Int_Tables_number 1
_symmetry_space_group_name_Hall 'P 1'
_cell_length_a 7.435
_cell_length_b 7.802
_cell_length_c 8.453
_cell_angle_alpha 99.65
_cell_angle_beta 102.18
_cell_angle_gamma 110.98
loop_
_atom_site_label
_atom_site_fract_x
_atom_site_fract_y
_atom_site_fract_z
K1 0.000 0.000 0.000
Au1 0.843 0.602 0.347
C1 0.286 0.252 0.735
C2 0.352 0.660 0.337
C3 0.398 0.718 0.489
C4 0.437 0.287 0.851
C5 0.610 0.315 0.971
C6 0.755 0.409 0.122
C7 0.758 0.375 0.464
C8 0.763 0.248 0.025
C9 0.812 0.538 0.594
C10 0.906 0.698 0.704
C11 0.931 0.885 0.357
C12 0.960 0.053 0.412
I1 0.024 0.297 0.583
I2 0.309 0.580 0.092
I3 0.452 0.170 0.377
I4 0.497 0.863 0.729
# **DFT total energy**: -99.4 eV/cell
# **Calculated volume**: 24.0 Å³/atom

***

(11)
# NaScZnS3 | the Open Quantum Materials Database | PBE | optimized geometry
data_NaScZnS3
_chemical_formula_sum 'Na4 Sc4 Zn4 S12'
_symmetry_space_group_name_H-M 'C m c m'
_symmetry_Int_Tables_number 63
_symmetry_space_group_name_Hall '-C 2c 2'
_cell_length_a 3.747
_cell_length_b 13.021
_cell_length_c 10.062
_cell_angle_alpha 90.00
_cell_angle_beta 90.00
_cell_angle_gamma 90.00
loop_
_atom_site_label
_atom_site_fract_x
_atom_site_fract_y
_atom_site_fract_z
Na1 0.000 0.250 0.250
Sc1 0.000 0.000 0.000
Zn1 0.000 0.466 0.750
S1 0.000 0.076 0.750
S2 0.000 0.370 0.560
# **Calculated volume**: 20.5 Å³/atom
# **Distance to the lowest polymorph of the same formula**: 0.6 meV/atom

***

Please write out number 1 again, unchanged.
# LiFeAgSeS2 | the Open Quantum Materials Database | PBE | optimized geometry
data_LiFeAgSeS2
_chemical_formula_sum 'Li4 Fe4 Ag4 Se4 S8'
_symmetry_space_group_name_H-M 'C m c m'
_symmetry_Int_Tables_number 63
_symmetry_space_group_name_Hall '-C 2c 2'
_cell_length_a 3.250
_cell_length_b 13.423
_cell_length_c 9.914
_cell_angle_alpha 90.00
_cell_angle_beta 90.00
_cell_angle_gamma 90.00
loop_
_atom_site_label
_atom_site_fract_x
_atom_site_fract_y
_atom_site_fract_z
Li1 0.000 0.202 0.250
Fe1 0.000 0.500 0.000
Ag1 0.000 0.130 0.750
Se1 0.000 0.446 0.750
S1 0.000 0.120 0.510
# **DFT total energy**: -105.9 eV/cell
# **Calculated volume**: 18.0 Å³/atom